DFT (PBE+U) results for an optimized crystal structure of Cs4Rb2ZnCoO5.

a b c (Å): 7.1200 7.1200 7.1967
angles (deg): 93.72 93.72 117.84
Last column: nearest neighbours and their distance in Å.
Fractional coordinates of all 13 atoms:
Cs 0.2034 0.7966 0.0000  4 O 2.82-3.07
Cs 0.2389 0.7567 0.4951  5 O 2.99-3.11
Cs 0.7567 0.2389 0.4951  5 O 2.99-3.11
Cs 0.7966 0.2034 0.0000  4 O 2.82-3.07
Rb 0.3589 0.3589 0.1989  3 O 2.90-2.92
Rb 0.6224 0.6224 0.8460  4 O 2.87-3.13, 1 Co 3.10
Zn 0.8109 0.8109 0.3074  3 O 1.91-1.93
Co 0.2136 0.2136 0.6727  3 O 1.82-1.95
O 0.0602 0.0602 0.4307  1 Zn 1.93, 1 Co 1.95
O 0.1652 0.4270 0.7728  1 Co 1.82
O 0.4270 0.1652 0.7728  1 Co 1.82
O 0.5564 0.8213 0.2218  1 Zn 1.91
O 0.8213 0.5564 0.2218  1 Zn 1.91

Calculated values
The calculated volume is 320.0 Å³/cell. Its final energy is -3.89 eV per atom. Its space group is Cm, No. 8. The total magnetic moment is 0.08 μB per atom.